# 1
A geometry-optimized FeAg2Au structure, computed with PBEsol.

- Final energy: -4.592 eV/atom
- Relative energy among the computed polymorphs: 42 meV per atom
- Symmetry: No. 65
- DFT formation energy: 0.285 eV per atom
- Magnetization: 3.0 μB per formula unit
- N(E_F): 1.13 states/eV/atom

Geometry as POSCAR:
```
FeAg2Au
1.0
-0.1464 -2.3599 -1.4197
-1.7530 -2.2983 4.0011
-3.6377 1.8827 -2.7544
Ag Au Fe
2 1 1
Direct
0.0000 0.5000 0.0000 Ag
0.0000 0.0000 0.5000 Ag
0.5000 0.0000 0.0000 Au
0.5000 0.5000 0.5000 Fe
```


# 2
A geometry-optimized FeAg2Au structure, computed with PBEsol.

- Final energy: -4.592 eV/atom
- Relative energy among the computed polymorphs: 43 meV per atom
- Symmetry: No. 123
- DFT formation energy: 0.286 eV per atom
- Magnetization: 3.0 μB per formula unit
- N(E_F): 1.17 states/eV/atom

Geometry as POSCAR:
```
FeAg2Au
1.0
-3.0622 0.0216 2.3264
-0.8869 -3.5660 -1.1342
2.3687 -1.5855 3.1326
Au Fe Ag
1 1 2
Direct
0.5000 0.5000 0.5000 Au
0.0000 0.0000 0.5000 Fe
0.0000 0.5000 0.0000 Ag
0.5000 0.0000 0.0000 Ag
```


# 3
A geometry-optimized FeAg3Au structure, computed with PBEsol.

- Final energy: -3.220 eV/atom
- Symmetry: No. 221
- DFT formation energy: 1.344 eV per atom
- Magnetization: 3.4 μB per formula unit
- N(E_F): 1.52 states/eV/atom

Geometry as POSCAR:
```
FeAg3Au
1.0
-4.4337 -2.1470 -0.6924
2.1949 -4.4583 -0.2308
-0.5209 -0.5112 4.9208
Ag Au Fe
3 1 1
Direct
0.5000 0.0000 0.0000 Ag
0.0000 0.0000 0.5000 Ag
0.0000 0.5000 0.0000 Ag
0.0000 0.0000 0.0000 Au
0.5000 0.5000 0.5000 Fe
```


# 4
A geometry-optimized FeAgW2Au structure, computed with PBEsol.

- Final energy: -7.366 eV/atom
- Symmetry: No. 123
- DFT formation energy: 1.397 eV per atom
- Magnetization: 0.0 μB per formula unit
- N(E_F): 1.03 states/eV/atom

Geometry as POSCAR:
```
FeAgW2Au
1.0
4.3490 0.0000 0.0000
0.0000 4.3490 0.0000
0.0000 0.0000 4.7098
W Au Ag Fe
2 1 1 1
Direct
0.5000 0.0000 0.0000 W
0.0000 0.5000 0.0000 W
0.0000 0.0000 0.5000 Au
0.5000 0.5000 0.5000 Ag
0.0000 0.0000 0.0000 Fe
```


Repeat the first record exactly.
A geometry-optimized FeAg2Au structure, computed with PBEsol.

- Final energy: -4.592 eV/atom
- Relative energy among the computed polymorphs: 42 meV per atom
- Symmetry: No. 65
- DFT formation energy: 0.285 eV per atom
- Magnetization: 3.0 μB per formula unit
- N(E_F): 1.13 states/eV/atom

Geometry as POSCAR:
```
FeAg2Au
1.0
-0.1464 -2.3599 -1.4197
-1.7530 -2.2983 4.0011
-3.6377 1.8827 -2.7544
Ag Au Fe
2 1 1
Direct
0.0000 0.5000 0.0000 Ag
0.0000 0.0000 0.5000 Ag
0.5000 0.0000 0.0000 Au
0.5000 0.5000 0.5000 Fe
```